Material: Gd2DyZr
Method: DFT, GGA-PBE
State: optimized geometry

Output
The total moment is 13.99 μB per formula unit. As for the calculated density: 8.13 g cm⁻³. The calculation puts the calculated total energy at -10.227 eV/atom. As for the offset from the most stable computed form: 7.1 kJ/mol of formula units. The value obtained for the formation energy is 0.101 eV per atom.

```
data_Gd2DyZr
_space_group_name_H-M_alt 'P 4/m m m'
_space_group_IT_number 123
_space_group_name_Hall '-P 4 2'
_cell_length_a 4.874
_cell_length_b 4.874
_cell_length_c 4.885
_cell_angle_alpha 90.00
_cell_angle_beta 90.00
_cell_angle_gamma 90.00
loop_
_atom_site_label
_atom_site_type_symbol
_atom_site_fract_x
_atom_site_fract_y
_atom_site_fract_z
Gd1 Gd 0.000 0.500 0.000
Dy1 Dy 0.000 0.000 0.500
Zr1 Zr 0.500 0.500 0.500
```


Material: ZrCdCl
Method: DFT, GGA-PBE
State: optimized geometry

Output
The total moment is 0.00 μB per formula unit. As for the calculated density: 6.15 g cm⁻³. The calculation puts the calculated total energy at -4.028 eV/atom. The calculation puts the formation energy from raw total energies at -74.6 kJ/mol of formula units. As for the offset from the most stable computed form: 133.6 kJ/mol of formula units.

```
data_ZrCdCl
_space_group_name_H-M_alt 'P -6 m 2'
_space_group_IT_number 187
_space_group_name_Hall 'P -6 2'
_cell_length_a 4.6461
_cell_length_b 4.6461
_cell_length_c 3.4542
_cell_angle_alpha 90.00
_cell_angle_beta 90.00
_cell_angle_gamma 120.00
loop_
_atom_site_label
_atom_site_type_symbol
_atom_site_fract_x
_atom_site_fract_y
_atom_site_fract_z
Zr1 Zr 0.0000 0.0000 0.0000
Cd1 Cd 0.6667 0.3333 0.5000
Cl1 Cl 0.3333 0.6667 0.0000
```


Material: Ba4Ga2I5
Method: DFT, GGA-PBE
State: optimized geometry

Output
The total moment is 1.04 μB per formula unit. As for the calculated density: 4.12 g cm⁻³. The calculation puts the calculated total energy at -3.181 eV/atom. The calculation puts the formation energy from raw total energies at -1302.3 kJ/mol of formula units.

```
data_Ba4Ga2I5
_space_group_name_H-M_alt 'C 1 2/m 1'
_space_group_IT_number 12
_space_group_name_Hall '-C 2y'
_cell_length_a 23.683
_cell_length_b 5.130
_cell_length_c 9.589
_cell_angle_alpha 90.00
_cell_angle_beta 113.82
_cell_angle_gamma 90.00
loop_
_atom_site_label
_atom_site_type_symbol
_atom_site_fract_x
_atom_site_fract_y
_atom_site_fract_z
Ba1 Ba 0.000 0.000 0.236
Ba2 Ba 0.206 0.500 0.207
Ga1 Ga 0.053 0.500 0.054
I1 I 0.000 0.500 0.500
I2 I 0.170 0.000 0.417
I3 I 0.170 0.000 0.924
```


Material: Sr5Si2Sb6
Method: DFT, GGA-PBE
State: optimized geometry

Output
The total moment is 0.00 μB per formula unit. As for the calculated density: 4.68 g cm⁻³. The calculation puts the calculated total energy at -4.042 eV/atom. The calculation puts the formation energy from raw total energies at -825.3 kJ/mol of formula units.

```
data_Sr5Si2Sb6
_space_group_name_H-M_alt 'P b a m'
_space_group_IT_number 55
_space_group_name_Hall '-P 2 2ab'
_cell_length_a 12.637
_cell_length_b 15.447
_cell_length_c 4.455
_cell_angle_alpha 90.00
_cell_angle_beta 90.00
_cell_angle_gamma 90.00
loop_
_atom_site_label
_atom_site_type_symbol
_atom_site_fract_x
_atom_site_fract_y
_atom_site_fract_z
Sr1 Sr 0.000 0.000 0.000
Sr2 Sr 0.073 0.249 0.000
Sr3 Sr 0.166 0.505 0.000
Si1 Si 0.176 0.716 0.500
Sb1 Sb 0.014 0.607 0.500
Sb2 Sb 0.162 0.102 0.500
Sb3 Sb 0.179 0.822 0.000
```


Material: Ca2UAlS6
Method: DFT, GGA-PBE
State: optimized geometry

Output
The total moment is 1.00 μB per formula unit. As for the calculated density: 3.57 g cm⁻³. The calculation puts the calculated total energy at -5.727 eV/atom. The calculation puts the formation energy from raw total energies at -1299.6 kJ/mol of formula units.

```
data_Ca2UAlS6
_space_group_name_H-M_alt 'P 4 m m'
_space_group_IT_number 99
_space_group_name_Hall 'P 4 -2'
_cell_length_a 6.803
_cell_length_b 6.803
_cell_length_c 5.396
_cell_angle_alpha 90.00
_cell_angle_beta 90.00
_cell_angle_gamma 90.00
loop_
_atom_site_label
_atom_site_type_symbol
_atom_site_fract_x
_atom_site_fract_y
_atom_site_fract_z
Ca1 Ca 0.000 0.500 0.000
U1 U 0.000 0.000 0.651
Al1 Al 0.500 0.500 0.576
S1 S 0.000 0.000 0.165
S2 S 0.262 0.262 0.698
S3 S 0.500 0.500 0.170
```


Material: LiGaSe2
Method: DFT, GGA-PBE
State: optimized geometry

Output
The total moment is 0.00 μB per formula unit. As for the calculated density: 4.04 g cm⁻³. The calculation puts the calculated total energy at -3.853 eV/atom. The calculation puts the formation energy from raw total energies at -338.1 kJ/mol of formula units.

```
data_LiGaSe2
_space_group_name_H-M_alt 'P 1'
_space_group_IT_number 1
_space_group_name_Hall 'P 1'
_cell_length_a 3.994
_cell_length_b 6.997
_cell_length_c 7.284
_cell_angle_alpha 82.00
_cell_angle_beta 89.99
_cell_angle_gamma 73.43
loop_
_atom_site_label
_atom_site_type_symbol
_atom_site_fract_x
_atom_site_fract_y
_atom_site_fract_z
Li1 Li 0.000 0.000 0.000
Li2 Li 0.246 0.504 0.767
Ga1 Ga 0.490 0.019 0.533
Ga2 Ga 0.740 0.517 0.285
Se1 Se 0.191 0.615 0.096
Se2 Se 0.435 0.130 0.821
Se3 Se 0.673 0.650 0.576
Se4 Se 0.930 0.138 0.331
```